Entry 1:
Entry from Alexandria via LeMat-Bulk: crystalline ErThCuSi at its relaxed geometry (GGA-PBE).

Structure (extended XYZ):
```
4
Lattice="0.0000 3.5329 3.5329 3.5329 0.0000 3.5329 3.5329 3.5329 0.0000" Properties=species:S:1:pos:R:3 pbc="T T T"
Er 0.0000 0.0000 0.0000
Th 3.5329 3.5329 3.5329
Cu 5.2993 5.2993 5.2993
Si 1.7664 1.7664 1.7664
```

E_tot	-5.7097	eV per atom
ΔE_f (raw)	-334	meV/atom

---

Entry 2:
Entry from Alexandria via LeMat-Bulk: crystalline ScTlNF2 at its relaxed geometry (GGA-PBE).

Structure (extended XYZ):
```
5
Lattice="4.1147 0.0000 0.0000 0.0000 4.1147 0.0000 0.0000 0.0000 4.4604" Properties=species:S:1:pos:R:3 pbc="T T T"
Sc 0.0000 0.0000 0.0000
Tl 2.0574 2.0574 2.2302
N 0.0000 0.0000 2.2302
F 0.0000 2.0574 0.0000
F 2.0574 0.0000 0.0000
```

E_tot	-6.0252	eV per atom
ΔE_f (raw)	-1872	meV/atom
energy relative to the lowest polymorph listed for this composition	0	meV per atom

---

Entry 3:
Entry from Alexandria via LeMat-Bulk: crystalline TmMnGaCu at its relaxed geometry (GGA-PBE).

Structure (extended XYZ):
```
4
Lattice="0.0000 3.2665 3.2665 3.2665 0.0000 3.2665 3.2665 3.2665 0.0000" Properties=species:S:1:pos:R:3 pbc="T T T"
Tm 0.0000 0.0000 0.0000
Mn 3.2665 3.2665 3.2665
Ga 4.8998 4.8998 4.8998
Cu 1.6333 1.6333 1.6333
```

E_tot	-5.3664	eV per atom
formation energy from the elements	-175	meV per atom

---

Entry 4:
Entry from Alexandria via LeMat-Bulk: crystalline TiZn2HgBr at its relaxed geometry (GGA-PBE).

Structure (extended XYZ):
```
5
Lattice="5.3126 0.0000 0.0000 0.0000 5.3126 0.0000 0.0000 0.0000 5.4776" Properties=species:S:1:pos:R:3 pbc="T T T"
Ti 0.0000 0.0000 0.0000
Zn 0.0000 2.6563 0.0000
Zn 2.6563 0.0000 0.0000
Hg 0.0000 0.0000 2.7388
Br 2.6563 2.6563 2.7388
```

E_tot	-1.9478	eV per atom
ΔE_f (raw)	536	meV/atom

---

| no. | calculated volume (Å³/atom) | density of states at the Fermi level (states/eV per atom) |
| --- | --- | --- |
| 1 | 22.047 | 0.7899 |
| 2 | 15.103 | 0.1653 |
| 3 | 17.427 | 0.4983 |
| 4 | 30.920 | 1.6131 |